First-principles (PBE) data for a geometry-optimized CePu2S6 structure, as listed in Alexandria.

Cell: 4.050 7.249 7.249 Å, 120.00 90.00 90.00°
Last column: magnetic moment on the atom in μB.
Element x y z (fractional)
S (0.000, 0.740, 0.000)  -0.15
S (0.500, 0.000, 0.409)  -0.19
S (0.000, 0.260, 0.260)  -0.15
S (0.000, 0.000, 0.740)  -0.15
S (0.500, 0.409, 0.000)  -0.19
S (0.500, 0.591, 0.591)  -0.19
Ce (0.500, 0.000, 0.000)  0.05
Pu (0.000, 0.333, 0.667)  4.66
Pu (0.000, 0.667, 0.333)  4.66

Values from the calculation:
M_tot   8.21 Bohr magnetons per cell
E_form (uncorrected)   -1.46 eV/atom
Theoretical density   7.39 g/cm3